This record from Alexandria describes a PBEsol-optimized structure of ReHgRu2Pt. The functional is SCAN.

Unit cell a=4.609 b=4.609 c=4.795 alpha=90.00 beta=90.00 gamma=90.00
Space group P4/mmm (No. 123)
One atom of each set of equivalent atoms:
Re 0.000 0.000 0.000 (multiplicity 1)
Hg 0.500 0.500 0.500 (multiplicity 1)
Ru 0.000 0.500 0.000 (multiplicity 2)
Pt 0.000 0.000 0.500 (multiplicity 1)

For the mass density, the calculation gives 12.78 g/cm3. For the calculated formation energy, the calculation gives 33.20 kcal/mol of atoms.

=====

This record from Alexandria describes a PBEsol-optimized structure of HgPtRh2. The functional is SCAN.

Unit cell a=2.791 b=4.697 c=4.727 alpha=90.00 beta=90.00 gamma=90.00
Space group Pmmm (No. 47)
One atom of each set of equivalent atoms:
Hg 0.000 0.000 0.000 (multiplicity 1)
Pt 0.500 0.000 0.500 (multiplicity 1)
Rh 0.000 0.500 0.500 (multiplicity 1)
Rh 0.500 0.500 0.000 (multiplicity 1)

For the mass density, the calculation gives 16.12 g/cm3. For the calculated formation energy, the calculation gives 6.41 kcal/mol of atoms.

=====

This record from Alexandria describes a PBEsol-optimized structure of HgPtRh2. The functional is SCAN.

Unit cell a=5.653 b=7.734 c=2.788 alpha=90.00 beta=90.00 gamma=90.00
Space group Cmmm (No. 65)
One atom of each set of equivalent atoms:
Hg 0.000 0.000 0.000 (multiplicity 2)
Pt 0.000 0.500 0.000 (multiplicity 2)
Rh 0.250 0.250 0.500 (multiplicity 4)

For the mass density, the calculation gives 16.39 g/cm3. For the calculated formation energy, the calculation gives 3.88 kcal/mol of atoms.

=====

This record from Alexandria describes a PBEsol-optimized structure of HgPtRh3. The functional is SCAN.

Unit cell a=4.767 b=4.767 c=4.767 alpha=90.00 beta=90.00 gamma=90.00
Space group Pm-3m (No. 221)
One atom of each set of equivalent atoms:
Hg 0.000 0.000 0.000 (multiplicity 1)
Pt 0.500 0.500 0.500 (multiplicity 1)
Rh 0.000 0.000 0.500 (multiplicity 3)

For the mass density, the calculation gives 10.80 g/cm3. For the calculated formation energy, the calculation gives 48.32 kcal/mol of atoms.